# 1
Computed, not measured: GaAsSe2Cl at its PBEsol-relaxed geometry at the SCAN level of DFT.

Cell lengths 4.811, 4.811, 5.071 Å; angles 90.00, 90.00, 90.00 degrees
Space group P4/mmm (No. 123)
Symmetry-distinct sites (fractional):
Ga1 0.000 0.000 0.000 [1 per cell]
As1 0.000 0.000 0.500 [1 per cell]
Se1 0.000 0.500 0.000 [2 per cell]
Cl1 0.500 0.500 0.500 [1 per cell]

Output
E_form (uncorrected) (meV/atom): 525
E above lowest polymorph (eV/atom): 0.000

# 2
Computed, not measured: Tl3Co at its PBEsol-relaxed geometry at the SCAN level of DFT.

Cell lengths 3.3298, 3.3298, 9.3474 Å; angles 90.00, 90.00, 120.00 degrees
Space group P-6m2 (No. 187)
Symmetry-distinct sites (fractional):
Tl1 0.0000 0.0000 0.0000 [1 per cell]
Tl2 0.3333 0.6667 0.3010 [2 per cell]
Co1 0.0000 0.0000 0.5000 [1 per cell]

Output
ΔH_f (0 K) (meV per atom): 452

# 3
Computed, not measured: RbTlO3 at its PBEsol-relaxed geometry at the SCAN level of DFT.

Cell lengths 4.477, 4.477, 4.477 Å; angles 90.00, 90.00, 90.00 degrees
Space group Pm-3m (No. 221)
Symmetry-distinct sites (fractional):
Rb1 0.000 0.000 0.000 [1 per cell]
Tl1 0.500 0.500 0.500 [1 per cell]
O1 0.000 0.000 0.500 [3 per cell]

Output
E_form (uncorrected) (meV/atom): 631

# 4
Computed, not measured: CdP3 at its PBEsol-relaxed geometry at the SCAN level of DFT.

Cell lengths 3.053, 6.950, 6.930 Å; angles 90.00, 90.00, 90.00 degrees
Space group Imm2 (No. 44)
Symmetry-distinct sites (fractional):
Cd1 0.000 0.000 0.000 [2 per cell]
P1 0.000 0.200 0.660 [4 per cell]
P2 0.000 0.500 0.007 [2 per cell]

Output
E above lowest polymorph (eV/atom): 0.406
ΔH_f (0 K) (meV per atom): 344

# 5
Computed, not measured: CaSb2Se at its PBEsol-relaxed geometry at the SCAN level of DFT.

Cell lengths 4.238, 4.238, 11.403 Å; angles 90.00, 90.00, 90.00 degrees
Space group I4/mmm (No. 139)
Symmetry-distinct sites (fractional):
Ca1 0.000 0.000 0.000 [2 per cell]
Sb1 0.000 0.500 0.250 [4 per cell]
Se1 0.000 0.000 0.500 [2 per cell]

Output
E_form (uncorrected) (meV/atom): -662

# 6
Computed, not measured: Na2FeMo at its PBEsol-relaxed geometry at the SCAN level of DFT.

Cell lengths 6.734, 6.734, 6.734 Å; angles 90.00, 90.00, 90.00 degrees
Space group Fm-3m (No. 225)
Symmetry-distinct sites (fractional):
Na1 0.250 0.250 0.250 [8 per cell]
Fe1 0.000 0.000 0.000 [4 per cell]
Mo1 0.000 0.000 0.500 [4 per cell]

Output
ΔH_f (0 K) (meV per atom): 1487

Values of ρ, in order: 4.78 12.43 6.25 4.64 5.88 4.30, all in g/cm3.
Values of total magnetization, in order: 0.00 0.40 0.80 0.00 0.00 1.72, all in μB/atom.